{"formula": "BaSiSn2Pd", "functional": "PBE", "state": "relaxed", "dft_energy_ev_per_atom": -4.6696, "lattice_angstrom": [[1.671, -4.492, 4.284], [-3.839, -0.728, 5.105], [-0.724, 0.331, -6.379]], "species": ["Ba", "Pd", "Si", "Sn", "Sn"], "frac_coords": [[0.614, 0.614, 0.000], [0.242, 0.242, 0.000], [0.021, 0.021, 0.000], [0.870, 0.370, 0.500], [0.370, 0.870, 0.500]]}

***

{"formula": "SbAuSO", "functional": "PBE", "state": "relaxed", "dft_energy_ev_per_atom": -4.4842, "lattice_angstrom": [[-1.496, -6.432, -0.122], [5.571, -1.401, 5.507], [-4.034, 0.857, 4.299]], "species": ["Au", "Au", "Au", "Au", "O", "O", "O", "O", "S", "S", "S", "S", "Sb", "Sb", "Sb", "Sb"], "frac_coords": [[0.350, 0.189, 0.040], [0.850, 0.811, 0.040], [0.150, 0.189, 0.540], [0.650, 0.811, 0.540], [0.755, 0.051, 0.402], [0.255, 0.949, 0.402], [0.745, 0.051, 0.902], [0.245, 0.949, 0.902], [0.566, 0.385, 0.204], [0.066, 0.615, 0.204], [0.934, 0.385, 0.704], [0.434, 0.615, 0.704], [0.887, 0.215, 0.105], [0.387, 0.785, 0.105], [0.613, 0.215, 0.605], [0.113, 0.785, 0.605]]}

***

{"formula": "ZrFeSiAu", "functional": "PBE", "state": "relaxed", "magmom_total_mub_per_fu": 1.7, "dft_energy_ev_per_atom": -6.4810, "lattice_angstrom": [[1.248, -0.440, 4.311], [-2.445, -2.547, 2.806], [1.639, -3.931, 1.484]], "species": ["Au", "Fe", "Si", "Zr"], "frac_coords": [[0.250, 0.250, 0.250], [0.750, 0.750, 0.750], [0.000, 0.000, 0.000], [0.500, 0.500, 0.500]]}

***

{"formula": "HgPt4", "functional": "PBE", "state": "relaxed", "magmom_total_mub_per_fu": 0.0, "formation_enthalpy_0k_ev_per_atom": 0.17, "lattice_angstrom": [[7.409, 0.000, 0.000], [0.000, 7.409, 0.000], [0.000, 0.000, 3.189]], "species": ["Hg", "Hg", "Pt", "Pt", "Pt", "Pt", "Pt", "Pt", "Pt", "Pt"], "frac_coords": [[0.000, 0.000, 0.000], [0.500, 0.500, 0.000], [0.357, 0.143, 0.000], [0.857, 0.357, 0.000], [0.143, 0.643, 0.000], [0.643, 0.857, 0.000], [0.654, 0.154, 0.500], [0.154, 0.346, 0.500], [0.846, 0.654, 0.500], [0.346, 0.846, 0.500]]}

***

{"formula": "AcPmPO", "functional": "PBE", "state": "relaxed", "magmom_total_mub_per_fu": 0.1, "dft_energy_ev_per_atom": -6.4279, "lattice_angstrom": [[4.607, 0.000, 0.000], [0.000, 4.607, 0.000], [0.000, 0.000, 8.920]], "species": ["Ac", "Ac", "O", "O", "P", "P", "Pm", "Pm"], "frac_coords": [[0.750, 0.250, 0.500], [0.250, 0.750, 0.500], [0.750, 0.250, 0.000], [0.250, 0.750, 0.000], [0.750, 0.750, 0.283], [0.250, 0.250, 0.717], [0.250, 0.250, 0.086], [0.750, 0.750, 0.914]]}

***

{"formula": "NaInReTc", "functional": "PBE", "state": "relaxed", "magmom_total_mub_per_fu": 0.0, "dft_energy_ev_per_atom": -6.1139, "lattice_angstrom": [[1.804, -4.058, 0.987], [-2.663, -3.367, 1.505], [-0.864, -3.582, -2.668]], "species": ["In", "Na", "Re", "Tc"], "frac_coords": [[0.500, 0.500, 0.500], [0.750, 0.750, 0.750], [0.250, 0.250, 0.250], [0.000, 0.000, 0.000]]}